Run one
Entry from the Alexandria database: GaReS2N after structural relaxation (PBE).

a b c (Å): 4.828 4.828 3.509
angles (deg): 90.00 90.00 90.00
Fractional positions:
1 Ga 0.000 0.000 0.000
2 Re 0.500 0.500 0.500
3 S 0.000 0.500 0.000
4 S 0.500 0.000 0.000
5 N 0.000 0.000 0.500

## Properties
Symmetry   P4/mmm
Density   6.8 g/cm3

***

Run two
Entry from the Alexandria database: GaReS2N after structural relaxation (PBE).

a b c (Å): 4.826 4.826 3.766
angles (deg): 90.00 90.00 90.00
Fractional positions:
1 Ga 0.000 0.000 0.000
2 Re 0.500 0.500 0.500
3 S 0.000 0.500 0.500
4 S 0.500 0.000 0.500
5 N 0.500 0.500 0.000

## Properties
Symmetry   P4/mmm
Density   6.3 g/cm3

***

Need the numbers? Relative energies in meV per atom: run one 1243; run two 0.

***

Run one
Entry from the Alexandria database: GaReSN2 after structural relaxation (PBE).

a b c (Å): 3.844 3.844 5.144
angles (deg): 90.00 90.00 90.00
Fractional positions:
1 Ga 0.000 0.000 0.000
2 Re 0.500 0.500 0.500
3 S 0.500 0.500 0.000
4 N 0.000 0.500 0.500
5 N 0.500 0.000 0.500

## Properties
Symmetry   P4/mmm
Density   6.9 g/cm3

***

Run two
Entry from the Alexandria database: GaReSN2 after structural relaxation (PBE).

a b c (Å): 3.823 3.823 4.770
angles (deg): 90.00 90.00 90.00
Fractional positions:
1 Ga 0.000 0.000 0.000
2 Re 0.500 0.500 0.500
3 S 0.000 0.000 0.500
4 N 0.000 0.500 0.000
5 N 0.500 0.000 0.000

## Properties
Symmetry   P4/mmm
Density   7.5 g/cm3

***

Need the numbers? Relative energies in meV per atom: run one 0; run two 1409.

***

Run one
Entry from the Alexandria database: GaReSeN2 after structural relaxation (PBE).

a b c (Å): 3.862 3.862 5.445
angles (deg): 90.00 90.00 90.00
Fractional positions:
1 Ga 0.000 0.000 0.000
2 Re 0.500 0.500 0.500
3 Se 0.500 0.500 0.000
4 N 0.000 0.500 0.500
5 N 0.500 0.000 0.500

## Properties
Symmetry   P4/mmm
Density   7.4 g/cm3

***

Run two
Entry from the Alexandria database: GaReSeN2 after structural relaxation (PBE).

a b c (Å): 3.871 3.871 5.156
angles (deg): 90.00 90.00 90.00
Fractional positions:
1 Ga 0.000 0.000 0.000
2 Re 0.500 0.500 0.500
3 Se 0.000 0.000 0.500
4 N 0.000 0.500 0.000
5 N 0.500 0.000 0.000

## Properties
Symmetry   P4/mmm
Density   7.8 g/cm3

***

Need the numbers? Relative energies in meV per atom: run one 0; run two 1457.

***

Run one
Entry from the Alexandria database: GaReTe2N after structural relaxation (PBE).

a b c (Å): 5.512 5.512 3.483
angles (deg): 90.00 90.00 90.00
Fractional positions:
1 Ga 0.000 0.000 0.000
2 Re 0.500 0.500 0.500
3 Te 0.000 0.500 0.000
4 Te 0.500 0.000 0.000
5 N 0.000 0.000 0.500

## Properties
Symmetry   P4/mmm
Density   8.2 g/cm3

***

Run two
Entry from the Alexandria database: GaReTe2N after structural relaxation (PBE).

a b c (Å): 5.507 5.507 3.734
angles (deg): 90.00 90.00 90.00
Fractional positions:
1 Ga 0.000 0.000 0.000
2 Re 0.500 0.500 0.500
3 Te 0.000 0.500 0.500
4 Te 0.500 0.000 0.500
5 N 0.500 0.500 0.000

## Properties
Symmetry   P4/mmm
Density   7.7 g/cm3

***

Need the numbers? Relative energies in meV per atom: run one 1087; run two 0.